DFT (PBE-GGA) results for a relaxed Sc3C crystal.

Cell: 6.168 8.384 5.501 Å, 90.00 90.00 90.00°
Fractional coordinates of all 16 atoms:
Sc 0.048 0.250 0.175
Sc 0.171 0.076 0.676
Sc 0.171 0.424 0.676
Sc 0.329 0.576 0.176
Sc 0.329 0.924 0.176
Sc 0.452 0.750 0.675
Sc 0.548 0.250 0.325
Sc 0.671 0.076 0.824
Sc 0.671 0.424 0.824
Sc 0.829 0.576 0.324
Sc 0.829 0.924 0.324
Sc 0.952 0.750 0.825
C 0.130 0.750 0.431
C 0.370 0.250 0.931
C 0.630 0.750 0.069
C 0.870 0.250 0.569

## Properties
Density of states at the Fermi level   13.51 states/eV per cell
Calculated total energy   -7.210 eV per atom
Excess energy over the best structure of this formula in the dataset   112 meV per atom


DFT (PBE-GGA) results for a relaxed SrYTm crystal.

Cell: 8.407 8.407 8.407 Å, 154.41 154.41 36.50°
Fractional coordinates of all 3 atoms:
Sr 0.000 0.000 0.000
Y 0.317 0.317 0.000
Tm 0.679 0.679 0.000

## Properties
Density of states at the Fermi level   5.34 states/eV per cell
Calculated total energy   -4.057 eV per atom
Excess energy over the best structure of this formula in the dataset   40 meV per atom


DFT (PBE-GGA) results for a relaxed Rb2CaBr crystal.

Cell: 9.727 9.727 9.727 Å, 95.21 95.21 144.94°
Fractional coordinates of all 8 atoms:
Rb 0.375 0.240 0.365
Rb 0.760 0.125 0.135
Rb 0.875 0.010 0.635
Rb 0.990 0.625 0.865
Ca 0.250 0.750 0.500
Ca 0.500 0.500 0.000
Br 0.000 0.000 0.000
Br 0.750 0.250 0.500

## Properties
Density of states at the Fermi level   7.40 states/eV per cell
Calculated total energy   -1.946 eV per atom
Energy relative to the elements, uncorrected   -0.5434 eV per atom
Excess energy over the best structure of this formula in the dataset   103 meV per atom


DFT (PBE-GGA) results for a relaxed AcTl2Hg3 crystal.

Cell: 9.579 9.579 6.048 Å, 90.00 90.00 139.36°
Fractional coordinates of all 12 atoms:
Ac 0.176 0.824 0.750
Ac 0.824 0.176 0.250
Tl 0.251 0.251 0.000
Tl 0.251 0.251 0.500
Tl 0.749 0.749 0.000
Tl 0.749 0.749 0.500
Hg 0.104 0.419 0.750
Hg 0.313 0.687 0.250
Hg 0.419 0.104 0.250
Hg 0.581 0.896 0.750
Hg 0.687 0.313 0.750
Hg 0.896 0.581 0.250

## Properties
Density of states at the Fermi level   6.99 states/eV per cell
Calculated total energy   -1.798 eV per atom
Excess energy over the best structure of this formula in the dataset   85 meV per atom


Question: excess energy over the best structure of this formula in the dataset of number 2 (SrYTm)?
Answer: 40 meV per atom


Question: Look up the calculated total energy of the first one.
Answer: -7.210 eV per atom


Question: excess energy over the best structure of this formula in the dataset of number 1 (Sc3C)?
Answer: 112 meV per atom